DFT (PBE-GGA) results for crystalline CrGeB3 at its relaxed geometry.

Summary:
The value obtained for the size of the total moment is 0.23 μB/f.u. The total energy is -4.5819 eV/atom. The value obtained for the polymorph energy (0 for the lowest one) is 1.133 eV/atom. As for the space group: Pm-3m. The density of states at the Fermi level comes out at 1.3430 states/eV per atom. The formation energy comes out at 2273 meV per atom.

```
CrGeB3
1.0
4.005 0.000 0.000
0.000 4.005 0.000
0.000 0.000 4.005
Cr Ge B
1 1 3
Direct
0.000 0.000 0.000
0.500 0.500 0.500
0.000 0.500 0.500
0.500 0.000 0.500
0.500 0.500 0.000
```